Record 1
Entry from Alexandria: a geometry-optimized KSiTe2N structure (PBEsol).

a b c (Å): 5.888 5.888 4.638
angles (deg): 90.00 90.00 90.00
Space group P4/mmm (No. 123)
Unique sites:
K: 0.000 0.000 0.000 (multiplicity 1)
Si: 0.500 0.500 0.500 (multiplicity 1)
Te: 0.000 0.500 0.000 (multiplicity 2)
N: 0.000 0.000 0.500 (multiplicity 1)

Properties
- Raw formation energy: 1.78 eV/atom
- ΔE to the lowest computed polymorph: 1966 meV/atom
- Total magnetization: 2.710 μB per formula unit
- Crystal system: tetragonal


Record 2
Entry from Alexandria: a geometry-optimized KSiTe2N structure (PBEsol).

a b c (Å): 6.039 6.039 3.240
angles (deg): 90.00 90.00 90.00
Space group P4/mmm (No. 123)
Unique sites:
K: 0.000 0.000 0.000 (multiplicity 1)
Si: 0.500 0.500 0.500 (multiplicity 1)
Te: 0.000 0.500 0.500 (multiplicity 2)
N: 0.500 0.500 0.000 (multiplicity 1)

Properties
- Raw formation energy: -0.19 eV/atom
- ΔE to the lowest computed polymorph: 0 meV/atom
- Total magnetization: 0.000 μB per formula unit
- Crystal system: tetragonal


> Among the records above, which one has the highest raw formation energy?

number 1


> Which value of ΔE to the lowest computed polymorph does entry 1 give?

1966 meV/atom